# Ba3SrBi2Se

An optimized crystal structure of Ba3SrBi2Se (GGA-PBE, Alexandria).

Cell lengths 5.761, 5.991, 10.189 Å; angles 107.10, 106.42, 90.00 degrees
Atoms (fractional coordinates):
Sr: 0.500 0.000 0.000
Ba: 0.000 0.500 0.000
Ba: 0.821 0.821 0.641
Ba: 0.179 0.179 0.359
Bi: 0.631 0.631 0.262
Bi: 0.369 0.369 0.738
Se: 0.000 0.000 0.000

Calculated values
* M_tot: 0.00 μB/f.u.
* E: -3.792 eV/atom
* space-group type: No. 71
* raw formation energy: -7.85 eV per formula unit

***

# RbSnTeBr2

An optimized crystal structure of RbSnTeBr2 (GGA-PBE, Alexandria).

Cell lengths 5.808, 5.808, 5.779 Å; angles 90.00, 90.00, 90.00 degrees
Atoms (fractional coordinates):
Sn: 0.000 0.000 0.000
Br: 0.500 0.000 0.000
Br: 0.000 0.500 0.000
Te: 0.000 0.000 0.500
Rb: 0.500 0.500 0.500

Calculated values
* M_tot: 0.00 μB/f.u.
* E: -3.090 eV/atom
* space-group type: No. 123
* raw formation energy: -3.99 eV per formula unit

***

# CaSiSeN2

An optimized crystal structure of CaSiSeN2 (GGA-PBE, Alexandria).

Cell lengths 3.738, 3.738, 5.281 Å; angles 90.00, 90.00, 90.00 degrees
Site moments in Bohr magnetons follow the coordinates.
Atoms (fractional coordinates):
Si: 0.000 0.000 0.000  -0.02
N: 0.000 0.500 0.000  0.28
N: 0.500 0.000 0.000  0.28
Se: 0.000 0.000 0.500  0.08
Ca: 0.500 0.500 0.500  0.00

Calculated values
* M_tot: 0.86 μB/f.u.
* E: -5.579 eV/atom
* distance to the lowest polymorph of the same formula: 0.00 kcal/mol of atoms
* space-group type: No. 123
* raw formation energy: -0.34 eV per formula unit

***

# Ac2PPd4Pt2

An optimized crystal structure of Ac2PPd4Pt2 (GGA-PBE, Alexandria).

Cell lengths 6.362, 6.362, 6.362 Å; angles 88.69, 120.76, 120.76 degrees
Atoms (fractional coordinates):
Pt: 0.000 0.263 0.263
Pt: 0.000 0.737 0.737
Ac: 0.500 0.750 0.250
Ac: 0.500 0.250 0.750
P: 0.000 0.000 0.000
Pd: 0.543 0.271 0.271
Pd: 0.000 0.271 0.729
Pd: 0.457 0.729 0.729
Pd: 0.000 0.729 0.271

Calculated values
* M_tot: 0.00 μB/f.u.
* E: -6.022 eV/atom
* space-group type: No. 139

***

# UCr6P4

An optimized crystal structure of UCr6P4 (GGA-PBE, Alexandria).

Cell lengths 7.049, 7.049, 3.290 Å; angles 90.00, 90.00, 120.00 degrees
Site moments in Bohr magnetons follow the coordinates.
Atoms (fractional coordinates):
Cr: 0.800 0.200 0.500  0.36
Cr: 0.463 0.537 0.000  0.80
Cr: 0.800 0.601 0.500  0.36
Cr: 0.073 0.537 0.000  0.80
Cr: 0.399 0.200 0.500  0.36
Cr: 0.463 0.927 0.000  0.80
P: 0.188 0.376 0.500  -0.02
P: 0.667 0.333 0.000  -0.03
P: 0.624 0.812 0.500  -0.02
P: 0.188 0.812 0.500  -0.02
U: 0.000 0.000 0.000  -1.02

Calculated values
* M_tot: 2.39 μB/f.u.
* E: -8.792 eV/atom
* space-group type: No. 187

***

# LiIn5Pd4

An optimized crystal structure of LiIn5Pd4 (GGA-PBE, Alexandria).

Cell lengths 3.373, 3.373, 15.861 Å; angles 90.00, 90.00, 90.00 degrees
Atoms (fractional coordinates):
Pd: 0.000 0.000 0.399
Pd: 0.000 0.000 0.601
Pd: 0.000 0.000 0.196
Pd: 0.000 0.000 0.804
Li: 0.000 0.000 0.000
In: 0.500 0.500 0.299
In: 0.500 0.500 0.900
In: 0.500 0.500 0.100
In: 0.500 0.500 0.701
In: 0.500 0.500 0.500

Calculated values
* M_tot: 0.00 μB/f.u.
* E: -4.098 eV/atom
* space-group type: No. 123

***

# TcNi2HgI

An optimized crystal structure of TcNi2HgI (GGA-PBE, Alexandria).

Cell lengths 4.817, 5.239, 4.817 Å; angles 90.00, 90.00, 90.00 degrees
Site moments in Bohr magnetons follow the coordinates.
Atoms (fractional coordinates):
I: 0.500 0.500 0.500  0.04
Ni: 0.000 0.000 0.500  0.39
Ni: 0.500 0.000 0.000  0.47
Tc: 0.000 0.500 0.000  2.99
Hg: 0.000 0.000 0.000  -0.02

Calculated values
* M_tot: 4.16 μB/f.u.
* E: -3.234 eV/atom
* space-group type: No. 123
* raw formation energy: 7.61 eV per formula unit

***

# Pr3DyMg3

An optimized crystal structure of Pr3DyMg3 (GGA-PBE, Alexandria).

Cell lengths 6.579, 6.579, 10.801 Å; angles 90.03, 90.03, 110.93 degrees
Site moments in Bohr magnetons follow the coordinates.
Atoms (fractional coordinates):
Dy: 0.714 0.714 0.000  0.01
Dy: 0.286 0.286 0.000  0.01
Mg: 0.000 0.000 0.761  0.00
Mg: 0.999 0.500 0.752  0.00
Mg: 0.001 0.500 0.248  0.00
Mg: 0.500 0.999 0.752  0.00
Mg: 0.500 0.001 0.248  0.00
Mg: 0.000 0.000 0.239  0.00
Pr: 0.826 0.174 0.500  0.14
Pr: 0.174 0.826 0.500  0.14
Pr: 0.776 0.224 0.000  -0.01
Pr: 0.499 0.499 0.674  0.17
Pr: 0.501 0.501 0.326  0.17
Pr: 0.224 0.776 0.000  -0.01

Calculated values
* M_tot: 0.83 μB/f.u.
* E: -3.320 eV/atom
* distance to the lowest polymorph of the same formula: 0.10 kcal/mol of atoms
* space-group type: No. 12

***

# Pr5ThP6

An optimized crystal structure of Pr5ThP6 (GGA-PBE, Alexandria).

Cell lengths 7.263, 7.263, 7.262 Å; angles 99.60, 99.60, 119.96 degrees
Atoms (fractional coordinates):
P: 0.590 0.918 0.753
P: 0.918 0.590 0.753
P: 0.245 0.245 0.753
P: 0.082 0.410 0.247
P: 0.410 0.082 0.247
P: 0.755 0.755 0.247
Pr: 0.666 0.334 0.000
Pr: 0.832 0.168 0.500
Pr: 0.500 0.500 0.500
Pr: 0.334 0.666 0.000
Pr: 0.168 0.832 0.500
Th: 0.000 0.000 0.000

Calculated values
* M_tot: 0.00 μB/f.u.
* E: -6.864 eV/atom
* space-group type: No. 12

***

# LaCe3N4

An optimized crystal structure of LaCe3N4 (GGA-PBE, Alexandria).

Cell lengths 5.118, 5.118, 5.118 Å; angles 90.00, 90.00, 90.00 degrees
Site moments in Bohr magnetons follow the coordinates.
Atoms (fractional coordinates):
Ce: 0.000 0.500 0.500  0.40
Ce: 0.500 0.000 0.500  0.40
Ce: 0.500 0.500 0.000  0.40
N: 0.500 0.500 0.500  -0.04
N: 0.000 0.000 0.500  -0.03
N: 0.500 0.000 0.000  -0.03
N: 0.000 0.500 0.000  -0.03
La: 0.000 0.000 0.000  0.03

Calculated values
* M_tot: 1.39 μB/f.u.
* E: -8.430 eV/atom
* distance to the lowest polymorph of the same formula: 0.58 kcal/mol of atoms
* space-group type: No. 221
* raw formation energy: -11.41 eV per formula unit

***

# TlCuOs2

An optimized crystal structure of TlCuOs2 (GGA-PBE, Alexandria).

Cell lengths 5.115, 5.115, 5.115 Å; angles 135.90, 135.90, 64.13 degrees
Atoms (fractional coordinates):
Cu: 0.250 0.750 0.500
Tl: 0.750 0.250 0.500
Os: 0.500 0.500 0.000
Os: 0.000 0.000 0.000

Calculated values
* M_tot: 0.00 μB/f.u.
* E: -6.246 eV/atom
* distance to the lowest polymorph of the same formula: 11.09 kcal/mol of atoms
* space-group type: No. 139

***

# Pr5Ho3Te8

An optimized crystal structure of Pr5Ho3Te8 (GGA-PBE, Alexandria).

Cell lengths 8.837, 8.837, 9.010 Å; angles 60.63, 60.63, 60.00 degrees
Atoms (fractional coordinates):
Ho: 0.000 0.000 0.500
Ho: 0.500 0.000 0.500
Ho: 0.000 0.500 0.500
Te: 0.244 0.244 0.267
Te: 0.250 0.250 0.738
Te: 0.238 0.750 0.262
Te: 0.250 0.762 0.738
Te: 0.750 0.750 0.262
Te: 0.750 0.238 0.262
Te: 0.756 0.756 0.733
Te: 0.762 0.250 0.738
Pr: 0.500 0.500 0.500
Pr: 0.000 0.500 0.000
Pr: 0.000 0.000 0.000
Pr: 0.500 0.500 0.000
Pr: 0.500 0.000 0.000

Calculated values
* M_tot: 0.00 μB/f.u.
* E: -5.287 eV/atom
* space-group type: No. 166
* raw formation energy: -21.83 eV per formula unit